Density functional theory data (PBE-GGA) for Y6HoTe8 after structural relaxation.

Structure (POSCAR):
```
Y6HoTe8
1.0
7.529 0.000 4.347
2.510 7.099 4.347
0.000 0.000 8.694
Y Ho Te
6 1 8
direct
0.000 0.500 0.500
0.500 0.000 0.000
0.500 0.500 0.000
0.000 0.000 0.500
0.000 0.500 0.000
0.500 0.000 0.500
0.000 0.000 0.000
0.750 0.750 0.750
0.250 0.250 0.250
0.746 0.254 0.254
0.254 0.746 0.746
0.254 0.254 0.746
0.746 0.746 0.254
0.746 0.254 0.746
0.254 0.746 0.254
```

Summary:
E	-5.948	eV per atom
uncorrected formation energy	-1.38	eV per atom
calculated volume	30.98	Å³/atom
crystal system	cubic